DFT (GGA-PBE) results for SrNbTe2Se after structural relaxation.

Output
- theoretical density (g/cm³) = 5.5
- size of the total moment (μB/cell) = 0.0
- raw formation energy (eV per formula unit) = -3.64

Cell and atoms, written as POSCAR:
```
SrNbTe2Se
1.0
-5.276 1.009 1.694
-1.921 -3.718 -3.770
0.388 -3.598 3.350
Se Te Nb Sr
1 2 1 1
direct
0.000 0.000 0.500
0.500 0.000 0.000
0.000 0.500 0.000
0.000 0.000 0.000
0.500 0.500 0.500
```